(1)
{"formula": "Cu14PtAu", "functional": "PBE", "state": "relaxed", "lattice": [[-1.966, -0.798, 4.749], [5.150, -0.429, -0.592], [0.890, 8.259, 1.755]], "species": ["Cu", "Cu", "Cu", "Cu", "Cu", "Cu", "Cu", "Cu", "Cu", "Cu", "Cu", "Cu", "Cu", "Cu", "Pt", "Au"], "frac_coords": [[0.203, 0.797, 0.000], [0.704, 0.296, 0.000], [0.047, 0.451, 0.500], [0.202, 0.299, 0.000], [0.549, 0.953, 0.500], [0.701, 0.798, 0.000], [0.379, 0.126, 0.761], [0.379, 0.126, 0.239], [0.874, 0.621, 0.761], [0.874, 0.621, 0.239], [0.373, 0.627, 0.755], [0.373, 0.627, 0.245], [0.873, 0.127, 0.758], [0.873, 0.127, 0.242], [0.548, 0.452, 0.500], [0.049, 0.951, 0.500]], "dos_ef_per_ev_cell": 8.6, "formation_energy_mev_per_atom": -12, "final_energy_ev_per_atom": -4.179}



(2)
{"formula": "CuPt2Au", "functional": "PBE", "state": "relaxed", "lattice": [[-2.718, -0.617, 0.209], [0.398, -2.283, -1.562], [1.455, -4.201, 6.511]], "species": ["Au", "Cu", "Pt", "Pt"], "frac_coords": [[0.500, 0.500, 0.500], [0.500, 0.500, 0.000], [0.000, 0.000, 0.774], [0.000, 0.000, 0.226]], "dos_ef_per_ev_cell": 4.4, "formation_energy_mev_per_atom": -31, "relative_energy_ev_per_fu": 0.30, "final_energy_ev_per_atom": -4.895}